# 1
CsLiMgBr2 (PBE-GGA, relaxed); uncorrected formation energy = -345 meV/atom; total magnetic moment = 0.0 μB/f.u.; uncorrected energy = -1.886 eV/atom
1.0
-0.339 -2.759 -6.185
-3.853 -4.988 2.436
-5.560 3.649 -1.323
Cs Mg Br Li
1 1 2 1
Direct
0.000 0.000 0.000 Cs
0.000 0.500 0.000 Mg
0.000 0.000 0.500 Br
0.500 0.000 0.000 Br
0.500 0.500 0.500 Li

***

# 2
CsLi3Mn4Br12 (PBE-GGA, relaxed); uncorrected formation energy = -922 meV/atom; total magnetic moment = 20.0 μB/f.u.; uncorrected energy = -4.089 eV/atom
1.0
9.543 -0.505 -0.702
-2.789 9.140 -0.702
-2.789 -3.567 8.444
Cs Li Mn Br
1 3 4 12
Direct
0.000 0.000 0.000 Cs
0.622 0.378 0.000 Li
0.378 0.000 0.622 Li
0.000 0.622 0.378 Li
0.767 0.233 0.500 Mn
0.233 0.500 0.767 Mn
0.500 0.767 0.233 Mn
0.500 0.500 0.500 Mn
0.500 0.083 0.917 Br
0.655 0.500 0.345 Br
0.345 0.655 0.500 Br
0.500 0.345 0.655 Br
0.447 0.022 0.263 Br
0.263 0.447 0.022 Br
0.022 0.263 0.447 Br
0.553 0.737 0.978 Br
0.978 0.553 0.737 Br
0.737 0.978 0.553 Br
0.917 0.500 0.083 Br
0.083 0.917 0.500 Br

***

# 3
Cs2LiMnBr5 (PBE-GGA, relaxed); uncorrected formation energy = -1393 meV/atom; total magnetic moment = 5.0 μB/f.u.; uncorrected energy = -3.744 eV/atom
1.0
-3.072 2.797 -1.397
0.359 -7.058 -8.042
-10.200 -7.946 6.518
Cs Li Mn Br
4 2 2 10
Direct
0.873 0.746 0.805 Cs
0.118 0.237 0.693 Cs
0.127 0.254 0.305 Cs
0.882 0.763 0.193 Cs
0.579 0.158 0.942 Li
0.421 0.842 0.442 Li
0.791 0.581 0.518 Mn
0.209 0.419 0.018 Mn
0.331 0.662 0.001 Br
0.696 0.393 0.887 Br
0.508 0.016 0.805 Br
0.287 0.574 0.640 Br
0.917 0.833 0.534 Br
0.669 0.338 0.501 Br
0.304 0.607 0.387 Br
0.492 0.984 0.305 Br
0.713 0.426 0.140 Br
0.083 0.167 0.034 Br

***

# 4
CsLi2MnBr6 (PBE-GGA, relaxed); uncorrected formation energy = -1184 meV/atom; total magnetic moment = 4.0 μB/f.u.; uncorrected energy = -3.573 eV/atom
1.0
-5.200 -2.406 -5.805
6.013 -3.736 -6.873
-2.228 -9.203 2.774
Cs Li Mn Br
2 4 2 12
Direct
0.250 0.833 0.167 Cs
0.750 0.167 0.833 Cs
0.369 0.632 0.521 Li
0.131 0.479 0.368 Li
0.631 0.368 0.479 Li
0.869 0.521 0.632 Li
0.250 0.185 0.815 Mn
0.750 0.815 0.185 Mn
0.205 0.956 0.809 Br
0.295 0.191 0.044 Br
0.795 0.044 0.191 Br
0.705 0.809 0.956 Br
0.559 0.824 0.406 Br
0.941 0.594 0.176 Br
0.441 0.176 0.594 Br
0.059 0.406 0.824 Br
0.048 0.694 0.533 Br
0.452 0.467 0.306 Br
0.952 0.306 0.467 Br
0.548 0.533 0.694 Br

***

# 5
Cs3Li2MnBr6 (PBE-GGA, relaxed); uncorrected formation energy = -1288 meV/atom; total magnetic moment = 4.4 μB/f.u.; uncorrected energy = -3.421 eV/atom
1.0
7.887 0.000 0.000
-3.943 6.830 0.000
0.000 0.000 9.245
Cs Li Mn Br
3 2 1 6
Direct
0.333 0.667 0.651 Cs
0.667 0.333 0.349 Cs
0.000 0.000 0.000 Cs
0.667 0.333 0.753 Li
0.333 0.667 0.247 Li
0.000 0.000 0.500 Mn
0.678 0.839 0.318 Br
0.161 0.322 0.318 Br
0.161 0.839 0.318 Br
0.839 0.678 0.682 Br
0.322 0.161 0.682 Br
0.839 0.161 0.682 Br

***

# 6
Cs4LiMn3Br12 (PBE-GGA, relaxed); uncorrected formation energy = -1252 meV/atom; total magnetic moment = 14.0 μB/f.u.; uncorrected energy = -3.898 eV/atom
1.0
-7.482 5.567 1.177
2.203 -4.062 8.186
7.279 5.129 -3.011
Cs Li Mn Br
4 1 3 12
Direct
0.500 0.500 0.500 Cs
0.000 0.000 0.500 Cs
0.500 0.000 0.000 Cs
0.000 0.500 0.000 Cs
0.000 0.000 0.000 Li
0.500 0.000 0.500 Mn
0.500 0.500 0.000 Mn
0.000 0.500 0.500 Mn
0.250 0.500 0.750 Br
0.737 0.000 0.737 Br
0.263 0.000 0.263 Br
0.750 0.500 0.250 Br
0.737 0.737 0.000 Br
0.263 0.263 0.000 Br
0.750 0.250 0.500 Br
0.250 0.750 0.500 Br
0.500 0.250 0.750 Br
0.000 0.737 0.737 Br
0.500 0.750 0.250 Br
0.000 0.263 0.263 Br

***

# 7
CsLi2MoBr8 (PBE-GGA, relaxed); uncorrected formation energy = -983 meV/atom; total magnetic moment = 1.0 μB/f.u.; uncorrected energy = -3.390 eV/atom
1.0
-6.354 1.367 0.754
-4.210 -5.757 0.820
2.764 -0.233 9.167
Cs Li Mo Br
1 2 1 8
Direct
0.000 0.000 0.500 Cs
0.568 0.493 0.671 Li
0.432 0.507 0.329 Li
0.000 0.000 0.000 Mo
0.037 0.713 0.169 Br
0.661 0.978 0.859 Br
0.748 0.275 0.148 Br
0.963 0.287 0.831 Br
0.339 0.022 0.141 Br
0.252 0.725 0.852 Br
0.626 0.689 0.486 Br
0.374 0.311 0.514 Br

***

# 8
Cs2LiMoBr6 (PBE-GGA, relaxed); uncorrected formation energy = -1237 meV/atom; total magnetic moment = 3.0 μB/f.u.; uncorrected energy = -3.686 eV/atom
1.0
-5.085 5.318 -2.341
-7.428 -1.900 -0.914
-5.307 2.695 4.918
Cs Li Mo Br
2 1 1 6
Direct
0.750 0.750 0.750 Cs
0.250 0.250 0.250 Cs
0.500 0.500 0.500 Li
0.000 0.000 0.000 Mo
0.759 0.241 0.241 Br
0.241 0.241 0.759 Br
0.241 0.759 0.759 Br
0.241 0.759 0.241 Br
0.759 0.241 0.759 Br
0.759 0.759 0.241 Br

***

# 9
CsLiMoBr6 (PBE-GGA, relaxed); uncorrected formation energy = -1019 meV/atom; total magnetic moment = 2.0 μB/f.u.; uncorrected energy = -3.645 eV/atom
1.0
-5.515 -1.008 4.092
0.893 -1.581 6.699
-0.056 7.965 1.887
Cs Li Mo Br
1 1 1 6
Direct
0.000 0.000 0.000 Cs
0.667 0.667 0.500 Li
0.333 0.333 0.500 Mo
0.020 0.360 0.319 Br
0.360 0.020 0.681 Br
0.621 0.360 0.681 Br
0.020 0.621 0.681 Br
0.360 0.621 0.319 Br
0.621 0.020 0.319 Br

***

# 10
Cs2NaLiBr (PBE-GGA, relaxed); uncorrected formation energy = -531 meV/atom; total magnetic moment = 0.0 μB/f.u.; uncorrected energy = -1.853 eV/atom
1.0
7.511 0.000 0.000
0.000 7.511 0.000
0.000 0.000 5.174
Cs Na Br Li
2 1 1 1
Direct
0.000 0.500 0.000 Cs
0.500 0.000 0.000 Cs
0.500 0.500 0.500 Na
0.000 0.000 0.000 Br
0.000 0.000 0.500 Li